[1]
Crystalline AcY2PtO8 at its relaxed geometry. Source: Alexandria, functional PBE. Values from VASP.

Calculated values
As for the space group: P2/m (10). The final energy is -7.3736 eV/atom.

```
&SYSTEM
  ibrav = 0, nat = 12, ntyp = 4
/
ATOMIC_SPECIES
Ac 227.00 Ac.upf
Y 88.91 Y.upf
Pt 195.08 Pt.upf
O 16.00 O.upf
ATOMIC_POSITIONS angstrom
Ac -1.5338 -2.7605 1.6743
Y -4.8355 -2.0235 3.8782
Y -3.2226 0.8802 2.1173
Pt 0.0000 0.0000 0.0000
O -4.3944 0.6928 0.1955
O -6.6755 -2.3599 5.2553
O -1.8332 1.4573 3.8021
O -3.6637 -1.8361 5.8000
O -1.3826 1.2167 0.7402
O -6.2249 -2.6006 2.1934
O -4.8976 0.1857 3.4510
O -3.1605 -1.3290 2.5445
CELL_PARAMETERS angstrom
-0.4407 2.7937 4.2028
-4.5497 1.5841 -1.5558
-3.0677 -5.5210 3.3485
```



[2]
Crystalline Ac2YPtO6 at its relaxed geometry. Source: Alexandria, functional PBE. Values from VASP.

Calculated values
As for the space group: R-3m (166). The final energy is -7.4685 eV/atom.

```
&SYSTEM
  ibrav = 0, nat = 20, ntyp = 4
/
ATOMIC_SPECIES
Ac 227.00 Ac.upf
Y 88.91 Y.upf
Pt 195.08 Pt.upf
O 16.00 O.upf
ATOMIC_POSITIONS angstrom
Ac -0.3742 -5.4494 -9.7971
Ac -1.6480 -5.8493 -2.7334
Ac -1.7742 -9.1558 -9.3080
Ac -0.2481 -2.1429 -3.2226
Y -0.0752 -3.1715 -6.5923
Y -1.9471 -8.1273 -5.9383
Pt 0.0000 0.0000 0.0000
Pt -1.0111 -5.6494 -6.2653
O -2.0302 -4.1359 -7.5945
O 1.0434 -5.2319 -7.1023
O -0.7729 -4.2082 -4.5441
O 0.0080 -7.1628 -4.9361
O -3.0657 -6.0668 -5.4283
O -1.2494 -7.0905 -7.9864
O -3.7155 -8.6330 -6.9915
O -0.6677 -9.7198 -6.5034
O -2.4687 -8.7048 -3.9667
O 1.6932 -2.6657 -5.5391
O -1.3546 -1.5789 -6.0272
O 0.4464 -2.5940 -8.5638
CELL_PARAMETERS angstrom
-2.3060 0.1327 -5.5944
3.3311 -1.8774 -4.6917
-3.0473 -9.5540 -2.2445
```



[3]
Crystalline AcYPtO6 at its relaxed geometry. Source: Alexandria, functional PBE. Values from VASP.

Calculated values
As for the space group: P312 (149). The final energy is -7.1629 eV/atom.

```
&SYSTEM
  ibrav = 0, nat = 9, ntyp = 4
/
ATOMIC_SPECIES
Ac 227.00 Ac.upf
Y 88.91 Y.upf
Pt 195.08 Pt.upf
O 16.00 O.upf
ATOMIC_POSITIONS angstrom
Ac 1.9652 2.4823 0.6120
Y -1.9390 3.1535 1.9312
Pt -1.8290 1.6783 -0.9342
O -1.3233 5.1856 1.1517
O -3.2290 2.5622 0.1697
O -3.6145 3.8688 3.2718
O -0.5268 2.1056 0.5085
O -2.5695 1.3189 3.0945
O -0.3710 3.8797 3.3907
CELL_PARAMETERS angstrom
-3.6580 3.3567 -1.8684
-2.1852 0.4679 5.1188
4.0404 3.4895 -1.6413
```



[4]
Crystalline AcZn2PtO6 at its relaxed geometry. Source: Alexandria, functional PBE. Values from VASP.

Calculated values
As for the space group: C2/c (15). The final energy is -5.6567 eV/atom.

```
&SYSTEM
  ibrav = 0, nat = 20, ntyp = 4
/
ATOMIC_SPECIES
Ac 227.00 Ac.upf
Zn 65.41 Zn.upf
Pt 195.08 Pt.upf
O 16.00 O.upf
ATOMIC_POSITIONS angstrom
Ac 4.6484 5.4598 1.5795
Ac 8.1601 1.7458 5.8984
Zn 6.2637 4.7270 4.7838
Zn 3.0331 2.2306 2.1930
Zn 6.5448 2.4786 2.6941
Zn 9.7753 4.9751 5.2848
Pt 4.6484 1.4413 5.4517
Pt 8.1601 5.7643 2.0261
O 3.4631 -0.0159 5.7922
O 5.8337 1.0470 6.8953
O 9.3454 7.2216 1.6856
O 6.9748 6.1586 0.5825
O 6.8135 4.5774 2.7517
O 9.5067 4.9952 3.1853
O 5.9950 2.6283 4.7261
O 3.3018 2.2104 4.2925
O 4.4224 5.2782 4.1991
O 4.8744 2.8353 1.6639
O 8.3861 1.9274 3.2787
O 7.9341 4.3704 5.8139
CELL_PARAMETERS angstrom
7.0234 0.7395 0.7675
2.8925 6.6831 0.0307
2.8925 -0.2170 6.6797
```



[5]
Crystalline Ac3Zn2PtO9 at its relaxed geometry. Source: Alexandria, functional PBE. Values from VASP.

Calculated values
As for the space group: P-3m1 (164). The final energy is -6.4974 eV/atom.

```
&SYSTEM
  ibrav = 0, nat = 15, ntyp = 4
/
ATOMIC_SPECIES
Ac 227.00 Ac.upf
Zn 65.41 Zn.upf
Pt 195.08 Pt.upf
O 16.00 O.upf
ATOMIC_POSITIONS angstrom
Ac -3.5465 -4.2042 1.9473
Ac 0.0000 0.0000 0.0000
Ac -2.7719 -2.2819 -1.7037
Zn -0.2906 -3.4522 0.4212
Zn -6.0279 -3.0339 -0.1776
Pt -3.1149 -0.7194 1.4599
O -5.7437 -2.0818 -1.9827
O -4.6016 -4.4259 -0.7012
O -4.5566 -1.8593 0.6597
O -1.7619 -4.6269 -0.4162
O -1.7169 -2.0603 0.9448
O -0.5748 -4.4044 2.2263
O -1.1673 -0.2188 -2.5983
O 1.1230 -2.3049 1.2601
O -0.0443 -2.5237 -1.3382
CELL_PARAMETERS angstrom
-2.3346 -0.4375 -5.1966
2.2459 -4.6098 2.5202
-6.2298 -1.4388 2.9199
```



[6]
Crystalline AcZrPt2O8 at its relaxed geometry. Source: Alexandria, functional PBE. Values from VASP.

Calculated values
As for the space group: I-4m2 (119). The final energy is -6.8172 eV/atom.

```
&SYSTEM
  ibrav = 0, nat = 12, ntyp = 4
/
ATOMIC_SPECIES
Ac 227.00 Ac.upf
Zr 91.22 Zr.upf
Pt 195.08 Pt.upf
O 16.00 O.upf
ATOMIC_POSITIONS angstrom
Ac 0.0000 0.0000 0.0000
Zr -1.2753 2.8310 2.5767
Pt 3.1029 0.1126 2.5767
Pt 1.8276 2.9436 0.0000
O 1.5783 -0.7932 1.7593
O 0.2851 2.2978 0.9698
O 0.1053 -1.6690 4.1836
O 2.9672 -1.6556 3.3941
O 3.3702 3.5894 0.9698
O 4.6275 1.0185 1.7593
O 3.2386 1.8808 3.3941
O -0.1053 1.6690 4.1836
CELL_PARAMETERS angstrom
6.2058 0.2253 0.0000
-2.5505 5.6619 0.0000
-1.8276 -2.9436 5.1534
```



[7]
Crystalline AcZrPtO6 at its relaxed geometry. Source: Alexandria, functional PBE. Values from VASP.

Calculated values
As for the space group: P-31c (163). The final energy is -7.5833 eV/atom.

```
&SYSTEM
  ibrav = 0, nat = 18, ntyp = 4
/
ATOMIC_SPECIES
Ac 227.00 Ac.upf
Zr 91.22 Zr.upf
Pt 195.08 Pt.upf
O 16.00 O.upf
ATOMIC_POSITIONS angstrom
Ac 0.0000 0.0000 0.0000
Ac 0.0000 0.0000 5.3948
Zr 0.0000 3.1405 2.6974
Zr 2.7197 1.5702 8.0921
Pt 2.7197 1.5702 2.6974
Pt 0.0000 3.1405 8.0921
O 1.7856 2.9489 1.5600
O 4.3807 1.6898 1.5600
O -0.7269 4.6387 6.9547
O -1.6610 3.0208 9.2296
O 1.0587 1.6898 3.8348
O 3.6538 2.9489 3.8348
O 0.7269 4.6387 9.2296
O 3.4466 0.0720 3.8348
O -0.9341 1.7618 6.9547
O 1.9928 0.0720 1.5600
O 1.6610 3.0208 6.9547
O 0.9341 1.7618 9.2296
CELL_PARAMETERS angstrom
5.4394 0.0000 0.0000
-2.7197 4.7107 0.0000
0.0000 0.0000 10.7895
```



[8]
Crystalline AcPuO4 at its relaxed geometry. Source: Alexandria, functional PBE. Values from VASP.

Calculated values
As for the space group: P2_1/c (14). The energy above the most stable polymorph in this dataset comes out at 0 kJ/mol of formula units. The final energy is -9.5163 eV/atom.

```
&SYSTEM
  ibrav = 0, nat = 24, ntyp = 3
/
ATOMIC_SPECIES
Ac 227.00 Ac.upf
Pu 244.00 Pu.upf
O 16.00 O.upf
ATOMIC_POSITIONS angstrom
Ac 4.2914 2.7735 4.5580
Ac 4.5496 2.8060 0.4172
Ac 1.3444 5.1794 6.5970
Ac 1.6026 5.2118 2.4562
Pu 1.3462 1.2888 6.4416
Pu 1.6008 1.3212 2.3009
Pu 4.2932 6.6641 4.7133
Pu 4.5478 6.6966 0.5726
O 5.4090 0.4556 5.7345
O 3.4321 0.4881 1.5938
O 2.1264 1.3841 4.4173
O 0.8206 1.4165 0.2766
O 2.9187 2.6065 6.7884
O 0.0972 3.0533 6.4015
O 0.0284 2.6389 2.6477
O 2.8499 3.0857 2.2607
O 3.0442 4.8997 4.7535
O 5.8657 5.3464 4.3665
O 5.7969 4.9321 0.6127
O 2.9754 5.3788 0.2257
O 5.0734 6.5688 6.7376
O 3.7677 6.6012 2.5969
O 2.4620 7.4973 5.4204
O 0.4851 7.5297 1.2797
CELL_PARAMETERS angstrom
5.8940 0.0000 0.0000
0.0000 8.0502 -1.2673
0.0000 -0.0648 8.2815
```



[9]
Crystalline AcPuO3 at its relaxed geometry. Source: Alexandria, functional PBE. Values from VASP.

Calculated values
As for the space group: Pm-3m (221). The final energy is -9.4111 eV/atom.

```
&SYSTEM
  ibrav = 0, nat = 5, ntyp = 3
/
ATOMIC_SPECIES
Ac 227.00 Ac.upf
O 16.00 O.upf
Pu 244.00 Pu.upf
ATOMIC_POSITIONS angstrom
Ac -3.4110 1.1100 1.3501
O -1.8172 -1.2606 0.0722
O -0.3942 0.6866 2.0664
O -1.1996 1.6841 -0.7884
Pu 0.0000 0.0000 0.0000
CELL_PARAMETERS angstrom
-2.3991 3.3681 -1.5768
-3.6344 -2.5212 0.1443
-0.7885 1.3731 4.1327
```



[10]
Crystalline Ac2PuO6 at its relaxed geometry. Source: Alexandria, functional PBE. Values from VASP.

Calculated values
As for the space group: Immm (71). The energy above the most stable polymorph in this dataset comes out at 41 kJ/mol of formula units. The final energy is -8.8359 eV/atom.

```
&SYSTEM
  ibrav = 0, nat = 9, ntyp = 3
/
ATOMIC_SPECIES
Ac 227.00 Ac.upf
Pu 244.00 Pu.upf
O 16.00 O.upf
ATOMIC_POSITIONS angstrom
Ac -2.2624 -3.2193 -0.7472
Ac -3.7140 -0.0686 1.4043
Pu 0.0000 0.0000 0.0000
O -1.4897 -1.3274 0.8177
O -4.7327 1.0784 -0.6626
O -4.4867 -1.9605 -0.1606
O -0.6093 -1.5771 -1.6877
O -1.2438 -4.3663 1.3197
O -0.3488 -4.7957 -1.1560
CELL_PARAMETERS angstrom
-1.4141 -0.7379 -3.7744
0.4560 -5.6349 0.9308
-5.0183 3.0849 3.5008
```



[11]
Crystalline Ac3PuO7 at its relaxed geometry. Source: Alexandria, functional PBE. Values from VASP.

Calculated values
As for the space group: Cmcm (63). The final energy is -8.8685 eV/atom.

```
&SYSTEM
  ibrav = 0, nat = 22, ntyp = 3
/
ATOMIC_SPECIES
Ac 227.00 Ac.upf
Pu 244.00 Pu.upf
O 16.00 O.upf
ATOMIC_POSITIONS angstrom
Ac 2.3169 3.3251 4.1320
Ac 2.3176 3.3261 0.0000
Ac 3.7461 0.0105 2.0658
Ac 0.8883 6.6407 6.1978
Ac -1.2875 3.5179 6.1981
Ac 5.9220 3.1333 2.0661
Pu 0.0000 0.0001 4.1320
Pu 4.6344 6.6511 0.0000
O 2.5747 6.1503 4.3458
O 2.0598 0.5009 0.2138
O 4.8780 4.5454 3.9182
O -0.2435 2.1058 8.0502
O -0.2428 2.1061 4.3462
O 4.8773 4.5451 0.2142
O 2.0598 0.5016 3.9178
O 2.5746 6.1496 8.0498
O 1.0935 4.1783 2.0660
O 3.5410 2.4729 6.1980
O 3.5810 2.4450 2.0660
O 1.0534 4.2062 6.1980
O 6.3999 0.4808 2.0660
O -1.7655 6.1704 6.1980
CELL_PARAMETERS angstrom
7.0635 0.0184 0.0000
-2.4291 6.6328 0.0000
0.0000 0.0000 8.2640
```



[12]
Crystalline AcPuO4 at its relaxed geometry. Source: Alexandria, functional PBE. Values from VASP.

Calculated values
As for the space group: P-1 (2). The energy above the most stable polymorph in this dataset comes out at 52 kJ/mol of formula units. The final energy is -9.4268 eV/atom.

```
&SYSTEM
  ibrav = 0, nat = 6, ntyp = 3
/
ATOMIC_SPECIES
Ac 227.00 Ac.upf
Pu 244.00 Pu.upf
O 16.00 O.upf
ATOMIC_POSITIONS angstrom
Ac 0.2101 -6.4831 -1.3702
Pu 3.1079 -4.2745 0.0019
O 2.9714 -3.1946 -1.9939
O -1.1129 -4.2679 -1.4705
O 1.1725 -4.8456 0.2743
O 0.6860 -2.6171 -3.7386
CELL_PARAMETERS angstrom
-0.5219 -0.4501 -3.8229
3.8354 -1.5365 -0.3547
-1.4382 -5.5036 0.7240
```



[13]
Crystalline AcPuO3 at its relaxed geometry. Source: Alexandria, functional PBE. Values from VASP.

Calculated values
As for the space group: P2_1/c (14). The final energy is -9.7342 eV/atom.

```
&SYSTEM
  ibrav = 0, nat = 20, ntyp = 3
/
ATOMIC_SPECIES
Ac 227.00 Ac.upf
Pu 244.00 Pu.upf
O 16.00 O.upf
ATOMIC_POSITIONS angstrom
Ac -6.4249 -2.4592 2.0110
Ac -4.9150 -0.3909 -3.9336
Ac -7.5732 -2.5324 -1.7871
Ac -3.7667 -0.3176 -0.1356
Pu -3.8717 -4.0317 -1.5511
Pu -7.4682 1.1817 -0.3716
Pu -4.9043 3.1185 -2.7661
Pu -6.4356 -5.9686 0.8434
O -4.9989 -5.9908 -0.9797
O -6.3410 3.1407 -0.9430
O -9.4444 0.0334 0.0338
O -1.8955 -2.8834 -1.9564
O -4.4687 -2.6520 0.2180
O -6.8712 -0.1980 -2.1407
O -10.0327 -3.4315 -1.3166
O -1.3072 0.5814 -0.6060
O -5.2929 -2.7036 -2.9220
O -6.0470 -0.1464 0.9993
O -3.8228 1.0534 -2.2878
O -7.5171 -3.9035 0.3652
CELL_PARAMETERS angstrom
-4.4973 4.7441 -2.2054
-1.7899 -3.8834 -4.7036
-5.0527 -3.7108 4.9864
```



[14]
Crystalline Ac3PuO8 at its relaxed geometry. Source: Alexandria, functional PBE. Values from VASP.

Calculated values
As for the space group: C222 (21). The final energy is -8.4080 eV/atom.

```
&SYSTEM
  ibrav = 0, nat = 12, ntyp = 3
/
ATOMIC_SPECIES
Ac 227.00 Ac.upf
Pu 244.00 Pu.upf
O 16.00 O.upf
ATOMIC_POSITIONS angstrom
Ac -1.7039 2.8489 1.7602
Ac 1.6114 2.6798 0.0000
Ac 3.3152 -0.1691 5.5266
Pu 1.6114 2.6798 3.6434
O 3.3383 1.6414 3.6434
O 3.6880 1.4312 0.0000
O 2.0526 3.9694 5.1582
O 2.5436 3.6742 2.1286
O 0.6792 1.6855 2.1286
O 1.1702 1.3902 5.1582
O -0.4652 3.9285 0.0000
O -0.1155 3.7182 3.6434
CELL_PARAMETERS angstrom
6.6305 -0.3382 0.0000
-3.4077 5.6978 0.0000
0.0000 0.0000 7.2868
```



[15]
Crystalline Ac3Pu5O12 at its relaxed geometry. Source: Alexandria, functional PBE. Values from VASP.

Calculated values
As for the space group: Ia-3d (230). The final energy is -10.2063 eV/atom.

```
&SYSTEM
  ibrav = 0, nat = 80, ntyp = 3
/
ATOMIC_SPECIES
Ac 227.00 Ac.upf
O 16.00 O.upf
Pu 244.00 Pu.upf
ATOMIC_POSITIONS angstrom
Ac 0.2244 -4.0776 6.9973
Ac 3.1290 -2.7394 9.9175
Ac -0.9215 5.4751 5.9003
Ac -3.3666 0.7974 1.9128
Ac -3.4656 -6.2358 6.3047
Ac 1.8893 2.1879 5.6814
Ac -5.9503 1.2110 5.3635
Ac -0.5954 9.6347 4.7401
Ac -0.6944 2.6015 9.1321
Ac -3.1395 -2.0762 5.1446
Ac -7.1900 6.1383 1.1274
Ac -4.2854 7.4765 4.0475
O -0.8915 -5.9556 5.4712
O -0.4020 3.1032 4.6742
O -1.9628 -5.1423 8.2146
O -0.7221 -3.0826 4.6493
O -2.2114 3.4378 7.0349
O 1.0790 -4.4040 9.5590
O 1.6698 4.8731 6.0564
O 6.2658 6.2474 5.5126
O -0.0914 5.1100 8.4648
O 1.5874 -1.9416 7.8231
O -1.6815 -2.2667 7.4331
O 5.4973 -1.7205 10.5917
O 0.1945 7.1081 4.1143
O 1.7953 -0.3436 4.6905
O 3.6949 7.8535 5.1304
O -5.9305 0.5409 2.7843
O -0.8946 1.7225 1.2549
O 3.7596 0.6104 6.7375
O 2.9527 -0.0532 10.3081
O 2.3300 2.1799 3.0531
O -0.8131 8.0217 6.8503
O -0.2878 1.1468 6.9366
O -0.5580 0.1093 10.0662
O -8.4408 0.3236 6.0030
O -3.7732 2.2521 4.1083
O -3.5030 3.2896 0.9787
O 4.3798 3.0753 5.0419
O -7.0136 3.4521 0.7368
O -3.2479 -4.6228 4.1946
O -6.3910 1.2190 7.9917
O -7.8206 2.7885 4.3074
O 1.8695 2.8580 8.2606
O -3.1664 1.6764 9.7900
O -7.7559 -4.4546 5.9144
O -4.2555 -3.7092 6.9306
O -9.5583 5.1194 0.4532
O -5.8563 3.7425 6.3544
O -3.9696 -1.7111 2.5801
O -5.6484 5.3405 3.2218
O -2.3795 5.6656 3.6118
O -10.3268 -2.8485 5.5323
O -5.7308 -1.4742 4.9885
O -3.3389 6.4815 6.3956
O -5.1400 7.8029 1.4859
O -1.8496 -0.0389 4.0100
O -2.0982 8.5412 2.8303
O -3.6590 0.2957 6.3706
O -3.1694 9.3546 5.5737
Pu 0.3235 2.9557 2.6054
Pu 4.2433 3.4441 2.7643
Pu 0.0000 0.0000 0.0000
Pu -0.0026 -1.2039 3.7655
Pu -6.2737 -1.7447 2.7582
Pu 3.1316 -1.5355 6.1520
Pu 2.2154 6.3475 4.5212
Pu -9.6403 -0.9472 4.6709
Pu -0.2350 -0.7381 8.0647
Pu -7.5161 1.9787 2.2876
Pu 3.4551 1.4202 8.7573
Pu -2.0305 1.6995 5.5224
Pu -1.1116 -4.9796 3.3877
Pu -5.1621 3.2349 -0.6295
Pu -3.8260 4.1370 2.9802
Pu 5.5793 4.3461 6.3740
Pu -0.9189 6.6790 2.1348
Pu -6.2764 -2.9486 6.5237
Pu -4.0584 4.6028 7.2794
Pu -4.3845 0.4432 8.4395
CELL_PARAMETERS angstrom
-2.2233 -9.9592 6.7753
8.4865 6.8882 5.5286
-10.3242 6.4699 -1.2590
```



[16]
Crystalline Ac5Pu2O12 at its relaxed geometry. Source: Alexandria, functional PBE. Values from VASP.

Calculated values
As for the space group: C2/m (12). The final energy is -8.9738 eV/atom.

```
&SYSTEM
  ibrav = 0, nat = 19, ntyp = 3
/
ATOMIC_SPECIES
Ac 227.00 Ac.upf
Pu 244.00 Pu.upf
O 16.00 O.upf
ATOMIC_POSITIONS angstrom
Ac 0.0000 3.9378 3.9300
Ac 0.0000 3.9316 0.1473
Ac 0.0000 0.0074 4.0506
Ac 3.3216 2.5590 5.9378
Ac 3.3216 2.5529 2.1551
Pu 5.0169 0.0000 0.0000
Pu 1.6264 0.0000 0.0000
O 0.0000 0.0244 1.4764
O -1.5433 4.3808 6.0853
O 1.5433 4.3808 6.0853
O -1.6693 4.4599 2.0333
O 1.6693 4.4599 2.0333
O 3.3216 0.0378 6.6529
O 0.0000 6.4529 -0.5678
O 4.9909 2.0308 4.0518
O 1.6524 2.0308 4.0518
O 4.8650 2.1099 -0.0002
O 1.7783 2.1099 -0.0002
O 3.3216 6.4662 4.6087
CELL_PARAMETERS angstrom
6.6433 0.0000 0.0000
-3.3216 6.4758 -2.0161
0.0000 0.0149 8.1012
```